Entry 1:
The following is a PBEsol calculation of crystalline CuAu at its relaxed geometry, from the Alexandria database.

Unit cell a=2.781 b=4.909 c=7.004 alpha=110.58 beta=90.00 gamma=106.46
Fractional positions:
Au (0.032, 0.065, 0.040)
Au (0.348, 0.697, 0.685)
Au (0.361, 0.722, 0.253)
Cu (0.710, 0.420, 0.895)
Cu (0.048, 0.096, 0.583)
Cu (0.667, 0.333, 0.377)

## Properties
The formation energy from the elements comes out at -0.024 eV per atom. As for the calculated volume: 14.2 Å³ per atom.

***

Entry 2:
The following is a PBEsol calculation of crystalline YCuW2O8 at its relaxed geometry, from the Alexandria database.

Unit cell a=4.998 b=5.996 c=6.012 alpha=109.39 beta=91.74 gamma=113.54
Fractional positions:
Cu (0.500, 0.500, 0.500)
W (0.755, 0.018, 0.330)
W (0.245, 0.982, 0.670)
O (0.969, 0.806, 0.330)
O (0.488, 0.764, 0.069)
O (0.996, 0.250, 0.215)
O (0.004, 0.750, 0.785)
O (0.539, 0.204, 0.476)
O (0.461, 0.796, 0.524)
O (0.512, 0.236, 0.931)
O (0.031, 0.194, 0.670)
Y (0.000, 0.500, 0.000)

## Properties
As for the calculated volume: 12.8 Å³ per atom. Its formation energy from raw total energies is -2.2430 eV per atom.

***

Entry 3:
The following is a PBEsol calculation of crystalline Sb2TeAuC at its relaxed geometry, from the Alexandria database.

Unit cell a=3.782 b=5.617 c=5.617 alpha=90.00 beta=90.00 gamma=90.00
Fractional positions:
Sb (0.000, 0.500, 0.000)
Sb (0.000, 0.000, 0.500)
C (0.500, 0.000, 0.000)
Te (0.500, 0.500, 0.500)
Au (0.000, 0.000, 0.000)

## Properties
As for the calculated volume: 23.9 Å³ per atom. Its formation energy from raw total energies is 0.8939 eV per atom.

***

Entry 4:
The following is a PBEsol calculation of crystalline BaCr3Si at its relaxed geometry, from the Alexandria database.

Unit cell a=4.712 b=4.712 c=4.712 alpha=90.00 beta=90.00 gamma=90.00
Fractional positions:
Si (0.000, 0.000, 0.000)
Cr (0.000, 0.000, 0.500)
Cr (0.500, 0.000, 0.000)
Cr (0.000, 0.500, 0.000)
Ba (0.500, 0.500, 0.500)

## Properties
As for the calculated volume: 20.9 Å³ per atom. Its formation energy from raw total energies is 0.9403 eV per atom.

***

Entry 5:
The following is a PBEsol calculation of crystalline Li2CoSiO4 at its relaxed geometry, from the Alexandria database.

Unit cell a=4.984 b=4.984 c=11.287 alpha=90.00 beta=90.00 gamma=120.00
Fractional positions:
O (0.291, 0.156, 0.293)
O (0.118, 0.685, 0.444)
O (0.567, 0.882, 0.110)
O (0.882, 0.567, 0.223)
O (0.685, 0.118, 0.890)
O (0.135, 0.844, 0.707)
O (0.844, 0.135, 0.626)
O (0.709, 0.865, 0.374)
O (0.315, 0.433, 0.777)
O (0.433, 0.315, 0.556)
O (0.156, 0.291, 0.041)
O (0.865, 0.709, 0.959)
Li (0.548, 0.878, 0.747)
Li (0.670, 0.122, 0.253)
Li (0.122, 0.670, 0.080)
Li (0.878, 0.548, 0.586)
Li (0.330, 0.452, 0.414)
Li (0.452, 0.330, 0.920)
Co (0.000, 0.537, 0.833)
Co (0.463, 0.463, 0.167)
Co (0.537, 0.000, 0.500)
Si (0.000, 0.817, 0.333)
Si (0.817, 0.000, 0.000)
Si (0.183, 0.183, 0.667)

## Properties
As for the offset from the most stable computed form: 78 meV per atom. As for the calculated volume: 10.1 Å³ per atom. Its formation energy from raw total energies is -1.9753 eV per atom.

***

Entry 6:
The following is a PBEsol calculation of crystalline BeTlSe2 at its relaxed geometry, from the Alexandria database.

Unit cell a=4.834 b=4.834 c=4.834 alpha=60.00 beta=60.00 gamma=60.00
Fractional positions:
Se (0.000, 0.000, 0.000)
Se (0.750, 0.750, 0.750)
Tl (0.250, 0.250, 0.250)
Be (0.500, 0.500, 0.500)

## Properties
As for the offset from the most stable computed form: 865 meV per atom. As for the calculated volume: 20.0 Å³ per atom. Its formation energy from raw total energies is 0.5508 eV per atom.

***

Entry 7:
The following is a PBEsol calculation of crystalline OsRu2 at its relaxed geometry, from the Alexandria database.

Unit cell a=2.703 b=5.054 c=6.335 alpha=103.16 beta=90.00 gamma=105.51
Fractional positions:
Ru (0.722, 0.444, 0.944)
Ru (0.333, 0.667, 0.667)
Ru (0.389, 0.778, 0.278)
Ru (0.056, 0.112, 0.611)
Os (0.000, 0.999, 0.000)
Os (0.667, 0.333, 0.333)

## Properties
The formation energy from the elements comes out at -0.007 eV per atom. As for the offset from the most stable computed form: 5 meV per atom. As for the calculated volume: 13.5 Å³ per atom.

***

Entry 8:
The following is a PBEsol calculation of crystalline MgMn2PdC at its relaxed geometry, from the Alexandria database.

Unit cell a=3.786 b=4.915 c=4.915 alpha=90.00 beta=90.00 gamma=90.00
Fractional positions:
Mn (0.000, 0.500, 0.000)
Mn (0.000, 0.000, 0.500)
Mg (0.500, 0.500, 0.500)
C (0.500, 0.000, 0.000)
Pd (0.000, 0.000, 0.000)

## Properties
The formation energy from the elements comes out at 1.218 eV per atom. As for the calculated volume: 18.3 Å³ per atom.